*i*
Below is TlAg2Ru after structural relaxation, with properties calculated at the PBEsol level.

Cell: 3.3205 3.3205 6.1948 Å, 90.00 90.00 90.00°
With the nearest neighbours (Å) after each atom.
Space group P4mm (No. 99)
Unique sites:
Tl: 0.0000 0.0000 0.0000 x1  4 Ru 2.75, 5 Ag 2.94-2.97
Ag: 0.0000 0.0000 0.5199 x1  4 Ag 2.76, 4 Ru 2.81, 1 Tl 2.97
Ag: 0.5000 0.5000 0.2849 x1  4 Ag 2.76, 4 Tl 2.94, 1 Ru 3.00
Ru: 0.5000 0.5000 0.7694 x1  4 Tl 2.75, 5 Ag 2.81-3.00

Properties
For the size of the total moment, the calculation gives 0.0 μB per cell. The value obtained for the density of states at the Fermi level is 2.8 states/eV per cell.

***

*ii*
Below is TlAg2Ru after structural relaxation, with properties calculated at the PBEsol level.

Cell: 4.5752 4.5752 6.4614 Å, 90.00 90.00 90.00°
With the nearest neighbours (Å) after each atom.
Space group I-4m2 (No. 119)
Unique sites:
Tl: 0.0000 0.0000 0.0000 x2  4 Ru 2.80, 4 Ag 2.80
Ag: 0.0000 0.0000 0.5000 x2  4 Ru 2.80, 4 Ag 2.80
Ag: 0.0000 0.5000 0.2500 x2  4 Tl 2.80, 4 Ag 2.80
Ru: 0.0000 0.5000 0.7500 x2  4 Tl 2.80, 4 Ag 2.80

Properties
For the size of the total moment, the calculation gives 0.0 μB per cell. The value obtained for the density of states at the Fermi level is 3.5 states/eV per cell.

***

Verdict on stability: *i* comes out at the bottom.

***

*i*
Below is TcMo2W after structural relaxation, with properties calculated at the PBEsol level.

Cell: 3.1101 4.3982 8.8315 Å, 90.00 90.00 90.00°
With the nearest neighbours (Å) after each atom.
Space group Immm (No. 71)
Unique sites:
Tc: 0.0000 0.0000 0.0000 x2  4 W 2.69, 4 Mo 2.73
Mo: 0.0000 0.5000 0.2456 x4  2 W 2.67, 4 Mo 2.69, 2 Tc 2.73
W: 0.0000 0.0000 0.5000 x2  4 Mo 2.67, 4 Tc 2.69

Properties
For the size of the total moment, the calculation gives 0.0 μB per cell. The value obtained for the density of states at the Fermi level is 6.0 states/eV per cell.

***

*ii*
Below is TcMo2W after structural relaxation, with properties calculated at the PBEsol level.

Cell: 3.1133 4.4240 8.7652 Å, 90.00 90.00 90.00°
With the nearest neighbours (Å) after each atom.
Space group Cmm2 (No. 35)
Unique sites:
Tc: 0.0000 0.0000 0.0000 x2  2 Mo 2.67, 2 W 2.67, 4 Tc 2.70
Mo: 0.0000 0.0000 0.4987 x2  6 Mo 2.70, 2 W 2.71
Mo: 0.0000 0.5000 0.2473 x2  2 Tc 2.67, 6 Mo 2.70
W: 0.0000 0.5000 0.7522 x2  2 Tc 2.67, 4 W 2.70, 2 Mo 2.71

Properties
For the size of the total moment, the calculation gives 0.0 μB per cell. The value obtained for the density of states at the Fermi level is 7.2 states/eV per cell.

***

Verdict on stability: *ii* comes out at the bottom.

***

*i*
Below is YHf2Pt2 after structural relaxation, with properties calculated at the PBEsol level.

Cell: 7.6825 7.6825 3.3650 Å, 90.00 90.00 90.00°
With the nearest neighbours (Å) after each atom.
Space group P4/mbm (No. 127)
Unique sites:
Y: 0.0000 0.0000 0.0000 x2  4 Pt 3.01, 8 Hf 3.33, 2 Y 3.36
Hf: 0.1630 0.3370 0.5000 x4  6 Pt 2.81-2.82
Pt: 0.1303 0.6303 0.0000 x4  6 Hf 2.81-2.82, 1 Pt 2.83, 2 Y 3.01

Properties
For the size of the total moment, the calculation gives 0.0 μB per cell. The value obtained for the density of states at the Fermi level is 8.1 states/eV per cell.

***

*ii*
Below is YHf2Pt2 after structural relaxation, with properties calculated at the PBEsol level.

Cell: 4.5052 4.5052 10.6695 Å, 90.00 90.00 90.00°
With the nearest neighbours (Å) after each atom.
Space group I4/mmm (No. 139)
Unique sites:
Y: 0.0000 0.0000 0.0000 x2  8 Pt 3.44, 8 Hf 3.49
Hf: 0.0000 0.5000 0.2500 x4  4 Pt 2.64
Pt: 0.0000 0.0000 0.3789 x4  1 Pt 2.58, 4 Hf 2.64

Properties
For the size of the total moment, the calculation gives 0.0 μB per cell. The value obtained for the density of states at the Fermi level is 6.9 states/eV per cell.

***

Verdict on stability: *i* comes out at the bottom.